(1)
## Dy3Co7Ge2 (PBE)

Data for crystalline Dy3Co7Ge2 at its relaxed geometry.

Values from the calculation:
Symmetry   R-3m, No. 166
Theoretical density   9.7 Mg/m³
Energy of formation   -395.2 kJ/mol of formula units
D(E_F)   11.555 states/eV/cell

Unit cell a=5.1910 b=5.1910 c=8.2038 alpha=71.56 beta=71.56 gamma=60.00
Fractional coordinates of all 12 atoms:
Dy 0.0000 0.0000 0.0000
Dy 0.8589 0.8589 0.4232
Dy 0.1411 0.1411 0.5768
Co 0.5000 0.5000 0.5000
Co 0.9152 0.4199 0.2450
Co 0.4199 0.9152 0.2450
Co 0.4199 0.4199 0.2450
Co 0.0848 0.5801 0.7550
Co 0.5801 0.5801 0.7550
Co 0.5801 0.0848 0.7550
Ge 0.6673 0.6673 0.9982
Ge 0.3327 0.3327 0.0018

---

(2)
## DyCoGe (PBE)

Data for crystalline DyCoGe at its relaxed geometry.

Values from the calculation:
Symmetry   Pnma, No. 62
Theoretical density   9.3 Mg/m³
Energy of formation   -192.7 kJ/mol of formula units
D(E_F)   8.442 states/eV/cell

Unit cell a=4.2482 b=6.9189 c=7.1266 alpha=90.00 beta=90.00 gamma=90.00
Fractional coordinates of all 12 atoms:
Ge 0.7500 0.2010 0.1028
Ge 0.7500 0.7010 0.3972
Ge 0.2500 0.7990 0.8972
Ge 0.2500 0.2990 0.6028
Co 0.7500 0.8473 0.0667
Co 0.7500 0.3473 0.4333
Co 0.2500 0.6527 0.5667
Co 0.2500 0.1527 0.9333
Dy 0.2500 0.4866 0.1955
Dy 0.7500 0.0134 0.6955
Dy 0.2500 0.9866 0.3045
Dy 0.7500 0.5134 0.8045

---

(3)
## DyCo6Ge4 (PBE)

Data for crystalline DyCo6Ge4 at its relaxed geometry.

Values from the calculation:
Symmetry   P-6m2, No. 187
Theoretical density   9.1 Mg/m³
Energy of formation   -394.7 kJ/mol of formula units
D(E_F)   8.572 states/eV/cell

Unit cell a=3.6988 b=6.7855 c=6.7855 alpha=120.00 beta=90.00 gamma=90.00
Fractional coordinates of all 11 atoms:
Dy 0.0000 0.0000 0.0000
Co 0.0000 0.5351 0.0702
Co 0.5000 0.5881 0.7941
Co 0.0000 0.5351 0.4649
Co 0.0000 0.9298 0.4649
Co 0.5000 0.2059 0.7941
Co 0.5000 0.2059 0.4119
Ge 0.5000 0.8052 0.6105
Ge 0.5000 0.3895 0.1948
Ge 0.5000 0.8052 0.1948
Ge 0.0000 0.3333 0.6667

---

(4)
## Dy2CoGe (PBE)

Data for crystalline Dy2CoGe at its relaxed geometry.

Values from the calculation:
Symmetry   P4/mmm, No. 123
Theoretical density   9.1 Mg/m³
Energy of formation   -156.8 kJ/mol of formula units
D(E_F)   2.129 states/eV/cell

Unit cell a=3.4177 b=3.4177 c=7.1309 alpha=90.00 beta=90.00 gamma=90.00
Fractional coordinates of all 4 atoms:
Ge 0.5000 0.5000 0.5000
Co 0.5000 0.5000 0.0000
Dy 0.0000 0.0000 0.7683
Dy 0.0000 0.0000 0.2317

---

(5)
## DyCo2Ge4 (PBE)

Data for crystalline DyCo2Ge4 at its relaxed geometry.

Values from the calculation:
Symmetry   Pnma, No. 62
Theoretical density   8.6 Mg/m³
Energy of formation   -294.0 kJ/mol of formula units
D(E_F)   10.815 states/eV/cell

Unit cell a=4.0454 b=6.4763 c=16.9136 alpha=90.00 beta=90.00 gamma=90.00
Fractional coordinates of all 28 atoms:
Ge 0.2500 0.2890 0.6986
Ge 0.7500 0.7110 0.3014
Ge 0.7500 0.7890 0.8014
Ge 0.2500 0.2110 0.1986
Ge 0.2500 0.6998 0.6804
Ge 0.7500 0.3002 0.3196
Ge 0.7500 0.1998 0.8196
Ge 0.2500 0.8002 0.1804
Ge 0.2500 0.1363 0.5285
Ge 0.7500 0.8637 0.4715
Ge 0.7500 0.6363 0.9715
Ge 0.2500 0.3637 0.0285
Ge 0.2500 0.4794 0.4330
Ge 0.7500 0.5206 0.5670
Ge 0.7500 0.9794 0.0670
Ge 0.2500 0.0206 0.9330
Co 0.2500 0.7481 0.5342
Co 0.7500 0.2519 0.4658
Co 0.7500 0.2481 0.9658
Co 0.2500 0.7519 0.0342
Co 0.2500 0.9916 0.7889
Co 0.7500 0.0084 0.2111
Co 0.7500 0.4916 0.7111
Co 0.2500 0.5084 0.2889
Dy 0.7500 0.0116 0.6411
Dy 0.2500 0.9884 0.3589
Dy 0.2500 0.5116 0.8589
Dy 0.7500 0.4884 0.1411

---

(6)
## DyCo4Ge12 (PBE)

Data for crystalline DyCo4Ge12 at its relaxed geometry.

Values from the calculation:
Symmetry   Im-3, No. 204
Theoretical density   7.2 Mg/m³
Energy of formation   -182.6 kJ/mol of formula units
D(E_F)   14.270 states/eV/cell

Unit cell a=7.2526 b=7.2526 c=7.2526 alpha=109.47 beta=109.47 gamma=109.47
Fractional coordinates of all 17 atoms:
Dy 0.0000 0.0000 0.0000
Co 0.0000 0.5000 0.0000
Co 0.5000 0.0000 0.0000
Co 0.5000 0.5000 0.5000
Co 0.0000 0.0000 0.5000
Ge 0.8358 0.3417 0.1776
Ge 0.3417 0.5059 0.1642
Ge 0.8224 0.1642 0.6583
Ge 0.3417 0.1776 0.8358
Ge 0.1776 0.8358 0.3417
Ge 0.6583 0.4941 0.8358
Ge 0.5059 0.1642 0.3417
Ge 0.4941 0.8358 0.6583
Ge 0.6583 0.8224 0.1642
Ge 0.8358 0.6583 0.4941
Ge 0.1642 0.3417 0.5059
Ge 0.1642 0.6583 0.8224

---

(7)
## Dy2CoGe4Ir3 (PBE)

Data for crystalline Dy2CoGe4Ir3 at its relaxed geometry.

Values from the calculation:
Symmetry   P-4m2, No. 115
Theoretical density   11.7 Mg/m³
Energy of formation   -665.7 kJ/mol of formula units
D(E_F)   5.476 states/eV/cell

Unit cell a=4.1669 b=4.1669 c=10.1930 alpha=90.00 beta=90.00 gamma=90.00
Fractional coordinates of all 10 atoms:
Dy 0.5000 0.0000 0.2513
Dy 0.0000 0.5000 0.7487
Co 0.5000 0.5000 0.5000
Ge 0.5000 0.5000 0.0000
Ge 0.0000 0.0000 0.0000
Ge 0.5000 0.0000 0.6276
Ge 0.0000 0.5000 0.3724
Ir 0.0000 0.0000 0.5000
Ir 0.5000 0.0000 0.8667
Ir 0.0000 0.5000 0.1333

---

(8)
## Dy2CoGe3Ir4 (PBE)

Data for crystalline Dy2CoGe3Ir4 at its relaxed geometry.

Values from the calculation:
Symmetry   P-4m2, No. 115
Theoretical density   12.9 Mg/m³
Energy of formation   -644.4 kJ/mol of formula units
D(E_F)   7.022 states/eV/cell

Unit cell a=4.1402 b=4.1402 c=10.3033 alpha=90.00 beta=90.00 gamma=90.00
Fractional coordinates of all 10 atoms:
Dy 0.5000 0.0000 0.2516
Dy 0.0000 0.5000 0.7484
Co 0.5000 0.5000 0.5000
Ge 0.0000 0.0000 0.5000
Ge 0.5000 0.0000 0.8662
Ge 0.0000 0.5000 0.1338
Ir 0.5000 0.5000 0.0000
Ir 0.0000 0.0000 0.0000
Ir 0.5000 0.0000 0.6314
Ir 0.0000 0.5000 0.3686

---

(9)
## DyCoGe2Ir (PBE)

Data for crystalline DyCoGe2Ir at its relaxed geometry.

Values from the calculation:
Symmetry   I-4m2, No. 119
Theoretical density   10.9 Mg/m³
Energy of formation   -324.5 kJ/mol of formula units
D(E_F)   1.977 states/eV/cell

Unit cell a=4.0532 b=4.0532 c=5.9038 alpha=110.08 beta=110.08 gamma=90.00
Fractional coordinates of all 5 atoms:
Dy 0.0000 0.0000 0.0000
Co 0.7500 0.2500 0.5000
Ge 0.6227 0.6227 0.2454
Ge 0.3773 0.3773 0.7546
Ir 0.2500 0.7500 0.5000

---

(10)
## LiDyCoGe (PBE)

Data for crystalline LiDyCoGe at its relaxed geometry.

Values from the calculation:
Symmetry   F-43m, No. 216
Theoretical density   8.0 Mg/m³
Energy of formation   -138.4 kJ/mol of formula units
D(E_F)   3.876 states/eV/cell

Unit cell a=4.4527 b=4.4527 c=4.4527 alpha=60.00 beta=60.00 gamma=60.00
Fractional coordinates of all 4 atoms:
Ge 0.2500 0.2500 0.2500
Li 0.0000 0.0000 0.0000
Co 0.5000 0.5000 0.5000
Dy 0.7500 0.7500 0.7500

---

(11)
## DyMnCoGe2 (PBE)

Data for crystalline DyMnCoGe2 at its relaxed geometry.

Values from the calculation:
Symmetry   I-4m2, No. 119
Theoretical density   8.5 Mg/m³
Energy of formation   -252.2 kJ/mol of formula units
D(E_F)   4.001 states/eV/cell

Unit cell a=3.9684 b=3.9684 c=5.9322 alpha=109.54 beta=109.54 gamma=90.00
Fractional coordinates of all 5 atoms:
Dy 0.0000 0.0000 0.0000
Mn 0.2500 0.7500 0.5000
Co 0.7500 0.2500 0.5000
Ge 0.6217 0.6217 0.2434
Ge 0.3783 0.3783 0.7566

---

(12)
## Dy2CoNi4Ge3 (PBE)

Data for crystalline Dy2CoNi4Ge3 at its relaxed geometry.

Values from the calculation:
Symmetry   P-4m2, No. 115
Theoretical density   8.8 Mg/m³
Energy of formation   -554.6 kJ/mol of formula units
D(E_F)   9.472 states/eV/cell

Unit cell a=4.0059 b=4.0059 c=9.7981 alpha=90.00 beta=90.00 gamma=90.00
Fractional coordinates of all 10 atoms:
Dy 0.5000 0.0000 0.2539
Dy 0.0000 0.5000 0.7461
Co 0.5000 0.5000 0.5000
Ni 0.5000 0.5000 0.0000
Ni 0.0000 0.0000 0.0000
Ni 0.5000 0.0000 0.6288
Ni 0.0000 0.5000 0.3712
Ge 0.0000 0.0000 0.5000
Ge 0.5000 0.0000 0.8680
Ge 0.0000 0.5000 0.1320

---

(13)
## Dy2Co3NiGe4 (PBE)

Data for crystalline Dy2Co3NiGe4 at its relaxed geometry.

Values from the calculation:
Symmetry   P-4m2, No. 115
Theoretical density   8.9 Mg/m³
Energy of formation   -570.4 kJ/mol of formula units
D(E_F)   8.314 states/eV/cell

Unit cell a=4.0584 b=4.0584 c=9.6765 alpha=90.00 beta=90.00 gamma=90.00
Fractional coordinates of all 10 atoms:
Dy 0.5000 0.0000 0.2468
Dy 0.0000 0.5000 0.7532
Co 0.0000 0.0000 0.5000
Co 0.5000 0.0000 0.8725
Co 0.0000 0.5000 0.1275
Ni 0.5000 0.5000 0.5000
Ge 0.5000 0.5000 0.0000
Ge 0.0000 0.0000 0.0000
Ge 0.5000 0.0000 0.6323
Ge 0.0000 0.5000 0.3677

---

(14)
## DyCoNi2Ge2 (PBE)

Data for crystalline DyCoNi2Ge2 at its relaxed geometry.

Values from the calculation:
Symmetry   P4/mmm, No. 123
Theoretical density   8.0 Mg/m³
Energy of formation   -90.5 kJ/mol of formula units
D(E_F)   2.410 states/eV/cell

Unit cell a=4.4215 b=4.4215 c=5.1111 alpha=90.00 beta=90.00 gamma=90.00
Fractional coordinates of all 6 atoms:
Dy 0.0000 0.0000 0.5000
Co 0.0000 0.0000 0.0000
Ni 0.5000 0.5000 0.7414
Ni 0.5000 0.5000 0.2586
Ge 0.5000 0.0000 0.0000
Ge 0.0000 0.5000 0.0000

---

(15)
## DyCoNi2Ge4 (PBE)

Data for crystalline DyCoNi2Ge4 at its relaxed geometry.

Values from the calculation:
Symmetry   R-3m, No. 166
Theoretical density   8.5 Mg/m³
Energy of formation   -253.7 kJ/mol of formula units
D(E_F)   4.983 states/eV/cell

Unit cell a=4.0752 b=4.0752 c=8.8501 alpha=76.69 beta=76.69 gamma=60.00
Fractional coordinates of all 8 atoms:
Dy 0.0000 0.0000 0.0000
Co 0.5000 0.5000 0.5000
Ni 0.7658 0.7658 0.7026
Ni 0.2342 0.2342 0.2974
Ge 0.4004 0.4004 0.7989
Ge 0.8695 0.8695 0.3914
Ge 0.1305 0.1305 0.6086
Ge 0.5996 0.5996 0.2011